This record from Alexandria via LeMat-Bulk describes a crystal of Zr2Cu2Pb relaxed with PBEsol. The functional is meta-GGA SCAN.

Unit cell a=6.809 b=6.809 c=3.896 alpha=90.00 beta=90.00 gamma=90.00
Space group P4/mbm (No. 127)
Inequivalent atoms, fractional coordinates:
Zr 0.166 0.334 0.000 [4 per cell]
Cu 0.124 0.624 0.500 [4 per cell]
Pb 0.000 0.000 0.500 [2 per cell]

Computed properties:
The total magnetic moment comes out at 0.00 μB/f.u. The value obtained for the energy of formation is -307 meV/atom. The value obtained for the theoretical density is 9500 kg/m³.